Entry w
# Ca2PI PBEsol relaxed
data_Ca2PI
_symmetry_space_group_name_H-M 'P 1'
_symmetry_Int_Tables_number 1
_symmetry_space_group_name_Hall 'P 1'
_cell_length_a 5.2439
_cell_length_b 5.2439
_cell_length_c 5.2439
_cell_angle_alpha 60.00
_cell_angle_beta 60.00
_cell_angle_gamma 60.00
loop_
_atom_site_label
_atom_site_type_symbol
_atom_site_fract_x
_atom_site_fract_y
_atom_site_fract_z
_atom_site_occupancy
Ca1 Ca 0.2500 0.2500 0.2500 1
Ca2 Ca 0.7500 0.7500 0.7500 1
P1 P 0.0000 0.0000 0.0000 1
I1 I 0.5000 0.5000 0.5000 1
# SG ... No. 225
# Fermi-level density of states ... 0.2 states/eV/cell
# Spin magnetization ... 0.0000 μB per atom

Entry x
# Ca2PI PBEsol relaxed
data_Ca2PI
_symmetry_space_group_name_H-M 'P 1'
_symmetry_Int_Tables_number 1
_symmetry_space_group_name_Hall 'P 1'
_cell_length_a 7.7263
_cell_length_b 7.7263
_cell_length_c 7.7263
_cell_angle_alpha 31.89
_cell_angle_beta 31.89
_cell_angle_gamma 31.89
loop_
_atom_site_label
_atom_site_type_symbol
_atom_site_fract_x
_atom_site_fract_y
_atom_site_fract_z
_atom_site_occupancy
Ca1 Ca 0.2305 0.2305 0.2305 1
Ca2 Ca 0.7695 0.7695 0.7695 1
P1 P 0.5000 0.5000 0.5000 1
I1 I 0.0000 0.0000 0.0000 1
# SG ... No. 166
# Fermi-level density of states ... 0.0 states/eV/cell
# Spin magnetization ... 0.0000 μB per atom

entry x is the most stable structure; the next one sits 397 meV/atom above it.

Entry w
# CaIn5 PBEsol relaxed
data_CaIn5
_symmetry_space_group_name_H-M 'P 1'
_symmetry_Int_Tables_number 1
_symmetry_space_group_name_Hall 'P 1'
_cell_length_a 6.1593
_cell_length_b 6.1593
_cell_length_c 6.4773
_cell_angle_alpha 121.72
_cell_angle_beta 121.72
_cell_angle_gamma 48.79
loop_
_atom_site_label
_atom_site_type_symbol
_atom_site_fract_x
_atom_site_fract_y
_atom_site_fract_z
_atom_site_occupancy
Ca1 Ca 0.0000 0.0000 0.0000 1
In1 In 0.0017 0.0017 0.5017 1
In2 In 0.3337 0.3337 0.0846 1
In3 In 0.3347 0.3347 0.5793 1
In4 In 0.6664 0.6664 0.4209 1
In5 In 0.6674 0.6674 0.9174 1
# SG ... No. 8
# Fermi-level density of states ... 2.8 states/eV/cell
# Spin magnetization ... 0.0001 μB per atom

Entry x
# CaIn5 PBEsol relaxed
data_CaIn5
_symmetry_space_group_name_H-M 'P 1'
_symmetry_Int_Tables_number 1
_symmetry_space_group_name_Hall 'P 1'
_cell_length_a 7.2294
_cell_length_b 7.2294
_cell_length_c 4.5421
_cell_angle_alpha 90.00
_cell_angle_beta 90.00
_cell_angle_gamma 140.76
loop_
_atom_site_label
_atom_site_type_symbol
_atom_site_fract_x
_atom_site_fract_y
_atom_site_fract_z
_atom_site_occupancy
Ca1 Ca 0.0000 0.0000 0.0000 1
In1 In 0.1708 0.8292 0.5000 1
In2 In 0.3285 0.6715 0.0000 1
In3 In 0.5000 0.5000 0.5000 1
In4 In 0.6715 0.3285 0.0000 1
In5 In 0.8292 0.1708 0.5000 1
# SG ... No. 65
# Fermi-level density of states ... 2.5 states/eV/cell
# Spin magnetization ... 0.0001 μB per atom

entry w is the most stable structure; the next one sits 7 meV/atom above it.

Entry w
# Li2CaIn2 PBEsol relaxed
data_Li2CaIn2
_symmetry_space_group_name_H-M 'P 1'
_symmetry_Int_Tables_number 1
_symmetry_space_group_name_Hall 'P 1'
_cell_length_a 8.1850
_cell_length_b 8.1850
_cell_length_c 3.2179
_cell_angle_alpha 90.00
_cell_angle_beta 90.00
_cell_angle_gamma 90.00
loop_
_atom_site_label
_atom_site_type_symbol
_atom_site_fract_x
_atom_site_fract_y
_atom_site_fract_z
_atom_site_occupancy
Li1 Li 0.1184 0.3816 0.0000 1
Li2 Li 0.3816 0.8816 0.0000 1
Li3 Li 0.6184 0.1184 0.0000 1
Li4 Li 0.8816 0.6184 0.0000 1
Ca1 Ca 0.0000 0.0000 0.0000 1
Ca2 Ca 0.5000 0.5000 0.0000 1
In1 In 0.1777 0.6777 0.5000 1
In2 In 0.3223 0.1777 0.5000 1
In3 In 0.6777 0.8223 0.5000 1
In4 In 0.8223 0.3223 0.5000 1
# SG ... No. 127
# Fermi-level density of states ... 5.4 states/eV/cell
# Spin magnetization ... 0.0000 μB per atom

Entry x
# Li2CaIn2 PBEsol relaxed
data_Li2CaIn2
_symmetry_space_group_name_H-M 'P 1'
_symmetry_Int_Tables_number 1
_symmetry_space_group_name_Hall 'P 1'
_cell_length_a 7.6112
_cell_length_b 7.6112
_cell_length_c 7.6112
_cell_angle_alpha 148.88
_cell_angle_beta 148.88
_cell_angle_gamma 44.58
loop_
_atom_site_label
_atom_site_type_symbol
_atom_site_fract_x
_atom_site_fract_y
_atom_site_fract_z
_atom_site_occupancy
Li1 Li 0.2500 0.7500 0.5000 1
Li2 Li 0.7500 0.2500 0.5000 1
Ca1 Ca 0.0000 0.0000 0.0000 1
In1 In 0.3931 0.3931 0.0000 1
In2 In 0.6069 0.6069 0.0000 1
# SG ... No. 139
# Fermi-level density of states ... 1.8 states/eV/cell
# Spin magnetization ... 0.0001 μB per atom

entry w is the most stable structure; the next one sits 26 meV/atom above it.

Entry w
# Ca2MgIn PBEsol relaxed
data_Ca2MgIn
_symmetry_space_group_name_H-M 'P 1'
_symmetry_Int_Tables_number 1
_symmetry_space_group_name_Hall 'P 1'
_cell_length_a 10.7649
_cell_length_b 10.7649
_cell_length_c 10.7649
_cell_angle_alpha 19.65
_cell_angle_beta 19.65
_cell_angle_gamma 19.65
loop_
_atom_site_label
_atom_site_type_symbol
_atom_site_fract_x
_atom_site_fract_y
_atom_site_fract_z
_atom_site_occupancy
Ca1 Ca 0.2450 0.2450 0.2450 1
Ca2 Ca 0.7550 0.7550 0.7550 1
Mg1 Mg 0.0000 0.0000 0.0000 1
In1 In 0.5000 0.5000 0.5000 1
# SG ... No. 166
# Fermi-level density of states ... 3.0 states/eV/cell
# Spin magnetization ... 0.0000 μB per atom

Entry x
# Ca2MgIn PBEsol relaxed
data_Ca2MgIn
_symmetry_space_group_name_H-M 'P 1'
_symmetry_Int_Tables_number 1
_symmetry_space_group_name_Hall 'P 1'
_cell_length_a 6.6077
_cell_length_b 6.6077
_cell_length_c 5.5310
_cell_angle_alpha 114.61
_cell_angle_beta 114.61
_cell_angle_gamma 32.33
loop_
_atom_site_label
_atom_site_type_symbol
_atom_site_fract_x
_atom_site_fract_y
_atom_site_fract_z
_atom_site_occupancy
Ca1 Ca 0.0000 0.0000 0.0000 1
Ca2 Ca 0.2083 0.2083 0.7069 1
Mg1 Mg 0.7648 0.7648 0.2632 1
In1 In 0.4682 0.4682 0.4686 1
# SG ... No. 8
# Fermi-level density of states ... 2.6 states/eV/cell
# Spin magnetization ... 0.0000 μB per atom

Entry y
# Ca2MgIn PBEsol relaxed
data_Ca2MgIn
_symmetry_space_group_name_H-M 'P 1'
_symmetry_Int_Tables_number 1
_symmetry_space_group_name_Hall 'P 1'
_cell_length_a 5.4142
_cell_length_b 5.4142
_cell_length_c 5.4142
_cell_angle_alpha 60.00
_cell_angle_beta 60.00
_cell_angle_gamma 60.00
loop_
_atom_site_label
_atom_site_type_symbol
_atom_site_fract_x
_atom_site_fract_y
_atom_site_fract_z
_atom_site_occupancy
Ca1 Ca 0.2500 0.2500 0.2500 1
Ca2 Ca 0.7500 0.7500 0.7500 1
Mg1 Mg 0.0000 0.0000 0.0000 1
In1 In 0.5000 0.5000 0.5000 1
# SG ... No. 225
# Fermi-level density of states ... 1.8 states/eV/cell
# Spin magnetization ... 0.0000 μB per atom

Entry z
# Ca2MgIn PBEsol relaxed
data_Ca2MgIn
_symmetry_space_group_name_H-M 'P 1'
_symmetry_Int_Tables_number 1
_symmetry_space_group_name_Hall 'P 1'
_cell_length_a 3.7978
_cell_length_b 5.4459
_cell_length_c 5.4460
_cell_angle_alpha 90.00
_cell_angle_beta 90.00
_cell_angle_gamma 90.00
loop_
_atom_site_label
_atom_site_type_symbol
_atom_site_fract_x
_atom_site_fract_y
_atom_site_fract_z
_atom_site_occupancy
Ca1 Ca 0.0000 0.0000 0.0000 1
Ca2 Ca 0.0000 0.5000 0.4990 1
Mg1 Mg 0.5000 0.0000 0.5003 1
In1 In 0.5000 0.5000 0.9989 1
# SG ... No. 25
# Fermi-level density of states ... 2.2 states/eV/cell
# Spin magnetization ... 0.0000 μB per atom

entry y is the most stable structure; the next one sits 9 meV/atom above it.